# HgPb3 | Alexandria | PBEsol | relaxed
data_HgPb3
_space_group_name_H-M_alt 'I m m m'
_space_group_IT_number 71
_space_group_name_Hall '-I 2 2'
_cell_length_a 3.6825
_cell_length_b 5.5391
_cell_length_c 10.9054
_cell_angle_alpha 90.00
_cell_angle_beta 90.00
_cell_angle_gamma 90.00
loop_
_atom_site_label
_atom_site_fract_x
_atom_site_fract_y
_atom_site_fract_z
_atom_site_occupancy
Hg1 0.0000 0.0000 0.0000 1
Pb1 0.0000 0.0000 0.5000 1
Pb2 0.0000 0.5000 0.2635 1
# calculated total energy	-3.120	eV/atom
# density of states at the Fermi level	3.9	states/eV/cell
# spin magnetization	0.00	μB per formula unit